No. 1
Material: Co2Cu2Ag
Method: DFT, GGA-PBE
State: optimized geometry

The structure in POSCAR format:
```
Co2Cu2Ag
1.0
-6.110 0.621 3.632
-3.628 -2.243 -5.720
0.235 -2.461 0.816
Ag Co Cu
2 4 4
Direct
0.000 0.000 0.000
0.500 0.500 0.000
0.388 0.888 0.000
0.612 0.112 0.000
0.888 0.612 0.000
0.112 0.388 0.000
0.819 0.319 0.500
0.681 0.819 0.500
0.181 0.681 0.500
0.319 0.181 0.500
```

Values from the calculation:
- space-group type = P4/mbm (127)
- E above lowest polymorph (meV per atom) = 0
- ΔH_f (0 K) (meV per atom) = 330.5



No. 2
Material: TaCo4Sb
Method: DFT, GGA-PBE
State: optimized geometry

The structure in POSCAR format:
```
TaCo4Sb
1.0
-0.477 -1.963 4.355
-0.182 2.806 3.891
-4.120 0.490 2.416
Co Ta Sb
4 1 1
Direct
0.374 0.374 0.374
0.374 0.374 0.877
0.374 0.877 0.374
0.877 0.374 0.374
0.000 0.000 0.000
0.750 0.750 0.750
```

Values from the calculation:
- space-group type = F-43m (216)
- energy relative to the elements, uncorrected (eV per atom) = 0.010



No. 3
Material: BaBeW4
Method: DFT, GGA-PBE
State: optimized geometry

The structure in POSCAR format:
```
BaBeW4
1.0
4.861 0.221 2.584
0.412 -1.652 5.240
2.686 -4.653 1.218
Ba W Be
1 4 1
Direct
0.750 0.750 0.750
0.375 0.375 0.875
0.375 0.375 0.375
0.375 0.875 0.375
0.875 0.375 0.375
0.000 0.000 0.000
```

Values from the calculation:
- space-group type = F-43m (216)
- ΔH_f (0 K) (meV per atom) = 1235.3



No. 4
Material: Dy4Ga3Ag
Method: DFT, GGA-PBE
State: optimized geometry

The structure in POSCAR format:
```
Dy4Ga3Ag
1.0
5.066 0.000 0.000
0.000 7.229 0.000
0.000 0.000 10.134
Ag Dy Ga
2 8 6
Direct
0.000 0.500 0.000
0.000 0.500 0.500
0.500 0.754 0.500
0.000 0.754 0.250
0.500 0.246 0.000
0.000 0.246 0.750
0.000 0.754 0.750
0.000 0.246 0.250
0.500 0.246 0.500
0.500 0.754 0.000
0.500 0.500 0.250
0.000 0.000 0.000
0.500 0.500 0.750
0.500 0.000 0.750
0.500 0.000 0.250
0.000 0.000 0.500
```

Values from the calculation:
- space-group type = P4/mmm (123)
- ΔH_f (0 K) (meV per atom) = -521.5



No. 5
Material: TlAsIr2
Method: DFT, GGA-PBE
State: optimized geometry

The structure in POSCAR format:
```
TlAsIr2
1.0
8.602 0.011 0.007
8.047 3.039 0.007
8.047 1.474 2.657
As Tl Ir
1 1 2
Direct
0.750 0.750 0.750
0.250 0.250 0.250
0.489 0.489 0.489
0.011 0.011 0.011
```

Values from the calculation:
- space-group type = R-3m (166)
- E above lowest polymorph (meV per atom) = 79
- ΔH_f (0 K) (meV per atom) = 322.4



No. 6
Material: Pr2MgBiO6
Method: DFT, GGA-PBE
State: optimized geometry

The structure in POSCAR format:
```
Pr2MgBiO6
1.0
-4.076 -3.246 -2.355
-1.864 -1.614 5.451
-5.382 6.427 0.063
O Pr Bi Mg
12 4 2 2
Direct
0.190 0.209 0.433
0.810 0.791 0.567
0.708 0.306 0.568
0.626 0.054 0.243
0.690 0.291 0.933
0.374 0.946 0.757
0.126 0.446 0.743
0.208 0.194 0.068
0.874 0.554 0.257
0.310 0.709 0.067
0.292 0.694 0.432
0.792 0.806 0.932
0.477 0.441 0.248
0.977 0.059 0.748
0.523 0.559 0.752
0.023 0.941 0.252
0.000 0.500 0.000
0.500 0.000 0.500
0.000 0.500 0.500
0.500 0.000 0.000
```

Values from the calculation:
- space-group type = P2_1/c (14)
- energy relative to the elements, uncorrected (eV per atom) = -2.463